(1)
The following is a DFT calculation (PBE-GGA) of a relaxed Al2CdHg crystal.

Values from the calculation:
The energy of formation from the pure elements comes out at 0.19 eV per atom. The value obtained for the total energy is -1.99 eV per atom. The energy above the lowest structure with this stoichiometry comes out at 75.0 meV/atom.

POSCAR file:
```
Al2CdHg
1.0
-0.125 3.191 3.146
-3.447 1.708 -1.869
-2.529 -2.471 2.406
Al Hg Cd
2 1 1
direct
0.000 0.000 0.000
0.000 0.500 0.500
0.500 0.000 0.500
0.500 0.500 0.000
```

---

(2)
The following is a DFT calculation (PBE-GGA) of a relaxed Ca2YBr crystal.

Values from the calculation:
The value obtained for the total energy is -3.60 eV per atom. Its uncorrected formation energy is -54 kJ per mole of atoms. The energy above the lowest structure with this stoichiometry comes out at 78.4 meV/atom.

POSCAR file:
```
Ca2YBr
1.0
-2.530 3.293 10.024
-2.744 -0.482 10.486
0.621 1.281 10.756
Y Ca Br
1 2 1
direct
0.488 0.488 0.488
0.013 0.013 0.013
0.247 0.247 0.247
0.753 0.753 0.753
```

---

(3)
The following is a DFT calculation (PBE-GGA) of a relaxed Al2ZnIn crystal.

Values from the calculation:
The energy of formation from the pure elements comes out at 0.17 eV per atom. The value obtained for the total energy is -2.70 eV per atom.

POSCAR file:
```
Al2ZnIn
1.0
4.193 0.000 0.000
2.097 3.631 0.000
2.097 1.210 5.496
Al Zn In
2 1 1
direct
0.058 0.058 0.825
0.277 0.277 0.170
0.669 0.669 0.992
0.495 0.495 0.514
```

---

(4)
The following is a DFT calculation (PBE-GGA) of a relaxed As3Cl crystal.

Values from the calculation:
The value obtained for the total energy is -3.69 eV per atom. Its uncorrected formation energy is 25 kJ per mole of atoms. The energy above the lowest structure with this stoichiometry comes out at 248.1 meV/atom.

POSCAR file:
```
As3Cl
1.0
-2.114 6.836 -2.119
-4.887 -4.553 3.328
2.034 2.701 6.683
As Cl
12 4
direct
0.500 0.000 0.000
0.500 0.000 0.500
0.000 0.500 0.000
0.500 0.500 0.000
0.500 0.500 0.500
0.000 0.500 0.500
0.798 0.596 0.250
0.202 0.404 0.750
0.404 0.202 0.250
0.798 0.202 0.250
0.202 0.798 0.750
0.596 0.798 0.750
0.000 0.000 0.000
0.000 0.000 0.500
0.333 0.667 0.250
0.667 0.333 0.750
```

---

(5)
The following is a DFT calculation (PBE-GGA) of a relaxed Cu3Pt2 crystal.

Values from the calculation:
The energy of formation from the pure elements comes out at -0.13 eV per atom. The value obtained for the total energy is -5.00 eV per atom. The energy above the lowest structure with this stoichiometry comes out at 35.2 meV/atom.

POSCAR file:
```
Cu3Pt2
1.0
2.731 0.000 0.000
0.000 6.507 -0.001
0.000 -2.012 7.657
Cu Pt
6 4
direct
0.000 0.014 0.007
0.500 0.105 0.293
0.000 0.199 0.606
0.500 0.300 0.904
0.000 0.395 0.196
0.000 0.588 0.797
0.500 0.483 0.499
0.500 0.698 0.087
0.000 0.808 0.398
0.500 0.908 0.714
```

---

(6)
The following is a DFT calculation (PBE-GGA) of a relaxed SrBiPt2I crystal.

Values from the calculation:
The value obtained for the total energy is -3.47 eV per atom. Its uncorrected formation energy is 35 kJ per mole of atoms.

POSCAR file:
```
SrBiPt2I
1.0
-1.794 -2.346 4.117
5.676 -1.971 1.350
0.804 4.188 2.736
I Sr Bi Pt
1 1 1 2
direct
0.000 0.000 0.000
0.500 0.500 0.500
0.000 0.500 0.000
0.000 0.000 0.500
0.500 0.000 0.000
```

---

(7)
The following is a DFT calculation (PBE-GGA) of a relaxed AcNdTe2S crystal.

Values from the calculation:
The value obtained for the total energy is -5.46 eV per atom. Its uncorrected formation energy is -155 kJ per mole of atoms.

POSCAR file:
```
AcNdTe2S
1.0
4.637 0.000 0.000
0.000 4.637 0.000
0.000 0.000 16.161
Ac Nd Te S
2 2 4 2
direct
0.500 0.000 0.607
0.000 0.500 0.393
0.500 0.000 0.110
0.000 0.500 0.890
0.000 0.500 0.705
0.000 0.500 0.095
0.500 0.000 0.905
0.500 0.000 0.295
0.000 0.000 0.500
0.500 0.500 0.500
```

---

(8)
The following is a DFT calculation (PBE-GGA) of a relaxed ScTcSe3 crystal.

Values from the calculation:
The value obtained for the total energy is -5.21 eV per atom. Its uncorrected formation energy is 21 kJ per mole of atoms. The energy above the lowest structure with this stoichiometry comes out at 257.7 meV/atom.

POSCAR file:
```
ScTcSe3
1.0
-0.394 4.748 1.845
-1.028 -1.887 4.636
4.990 -0.014 1.101
Sc Tc Se
1 1 3
direct
0.000 0.000 0.000
0.500 0.500 0.500
0.000 0.500 0.000
0.000 0.000 0.500
0.500 0.000 0.000
```

---

(9)
The following is a DFT calculation (PBE-GGA) of a relaxed Dy2ErScSe5 crystal.

Values from the calculation:
The value obtained for the total energy is -5.24 eV per atom. Its uncorrected formation energy is -104 kJ per mole of atoms.

POSCAR file:
```
Dy2ErScSe5
1.0
-2.532 2.918 -3.319
2.818 -1.880 -3.803
-6.849 -7.499 -1.367
Dy Er Sc Se
2 1 1 5
direct
0.500 0.500 0.296
0.500 0.500 0.704
0.000 0.000 0.500
0.000 0.000 0.000
0.000 0.500 0.500
0.500 0.000 0.500
0.000 0.000 0.761
0.000 0.000 0.239
0.500 0.500 0.000
```

---

(10)
The following is a DFT calculation (PBE-GGA) of a relaxed AlPIr2 crystal.

Values from the calculation:
The energy of formation from the pure elements comes out at -0.41 eV per atom. The value obtained for the total energy is -7.13 eV per atom. The energy above the lowest structure with this stoichiometry comes out at 12.1 meV/atom.

POSCAR file:
```
AlPIr2
1.0
-2.063 -7.250 2.687
0.733 -7.671 2.158
-0.099 -6.509 4.654
P Ir Al
1 2 1
direct
0.250 0.250 0.250
0.995 0.995 0.995
0.505 0.505 0.505
0.750 0.750 0.750
```

---

(11)
The following is a DFT calculation (PBE-GGA) of a relaxed KMnAg2Cl6 crystal.

Values from the calculation:
The value obtained for the total energy is -3.65 eV per atom. Its uncorrected formation energy is -91 kJ per mole of atoms.

POSCAR file:
```
KMnAg2Cl6
1.0
-6.182 -3.990 0.597
-0.431 -6.531 2.568
-4.222 -1.528 6.845
K Mn Ag Cl
1 1 2 6
direct
0.809 0.815 0.557
0.322 0.321 0.025
0.531 0.512 0.370
0.992 0.088 0.939
0.555 0.220 0.251
0.271 0.961 0.213
0.935 0.516 0.264
0.356 0.688 0.844
0.715 0.135 0.794
0.175 0.405 0.760
```

---

(12)
The following is a DFT calculation (PBE-GGA) of a relaxed CeGdDySc crystal.

Values from the calculation:
The energy of formation from the pure elements comes out at 0.14 eV per atom. The value obtained for the total energy is -7.59 eV per atom.

POSCAR file:
```
CeGdDySc
1.0
5.533 0.000 0.000
2.767 4.792 0.000
2.767 1.597 4.518
Sc Gd Ce Dy
1 1 1 1
direct
0.750 0.750 0.750
0.000 0.000 0.000
0.500 0.500 0.500
0.250 0.250 0.250
```

---

(13)
The following is a DFT calculation (PBE-GGA) of a relaxed KNaAu crystal.

Values from the calculation:
The energy of formation from the pure elements comes out at -0.25 eV per atom. The value obtained for the total energy is -2.14 eV per atom.

POSCAR file:
```
KNaAu
1.0
4.611 0.002 -0.001
-0.003 6.672 -0.002
-2.304 -3.337 6.686
K Na Au
2 2 2
direct
0.699 0.623 0.517
0.111 0.035 0.341
0.405 0.561 0.929
0.405 0.098 0.929
0.799 0.223 0.717
0.011 0.435 0.141
```